# Tb3ErAl4

Tb3ErAl4 after structural relaxation (GGA-PBE, Alexandria).

Summary:
energy relative to the elements	-38.3	kJ/mol of atoms

The structure in POSCAR format:
```
Tb3ErAl4
1.0
-1.613 1.232 2.974
-3.180 -1.130 -1.257
2.012 -12.761 6.378
Al Tb Er
4 3 1
Direct
0.000 0.000 0.121
0.000 0.000 0.626
0.000 0.000 0.374
0.000 0.000 0.879
0.500 0.500 0.248
0.500 0.500 0.500
0.500 0.500 0.752
0.500 0.500 0.000
```

=====

# PmDyZnSi

PmDyZnSi after structural relaxation (GGA-PBE, Alexandria).

Summary:
formation energy (no corrections)	-1.79	eV per formula unit
energy above the lowest structure with this stoichiometry	96	meV per atom

The structure in POSCAR format:
```
PmDyZnSi
1.0
5.044 0.000 0.000
2.522 4.368 0.000
2.522 1.456 4.118
Dy Si Zn Pm
1 1 1 1
Direct
0.500 0.500 0.500
0.750 0.750 0.750
0.250 0.250 0.250
0.000 0.000 0.000
```

=====

# SrPt2Cl

SrPt2Cl after structural relaxation (GGA-PBE, Alexandria).

Summary:
formation energy (no corrections)	-2.72	eV per formula unit
energy above the lowest structure with this stoichiometry	123	meV per atom

The structure in POSCAR format:
```
SrPt2Cl
1.0
3.861 0.000 0.000
0.000 3.863 0.000
0.000 0.000 5.961
Pt Sr Cl
2 1 1
Direct
0.000 0.000 0.000
0.500 0.500 0.000
0.500 0.000 0.500
0.000 0.500 0.500
```

=====

# KCuI2Br6

KCuI2Br6 after structural relaxation (GGA-PBE, Alexandria).

Summary:
formation energy (no corrections)	-4.20	eV per formula unit

The structure in POSCAR format:
```
KCuI2Br6
1.0
7.030 -0.922 -0.778
-4.299 8.762 0.885
-3.889 -1.831 7.499
Br Cu I K
6 1 2 1
Direct
0.054 0.908 0.260
0.531 0.860 0.829
0.861 0.606 0.754
0.462 0.136 0.132
0.939 0.088 0.700
0.133 0.389 0.207
0.996 0.998 0.980
0.558 0.650 0.211
0.435 0.345 0.750
0.997 0.498 0.480
```

=====

# Zr2ZnW2

Zr2ZnW2 after structural relaxation (GGA-PBE, Alexandria).

Summary:
energy relative to the elements	107.4	kJ/mol of atoms
energy above the lowest structure with this stoichiometry	575	meV per atom

The structure in POSCAR format:
```
Zr2ZnW2
1.0
-2.106 2.106 6.107
2.106 -2.106 6.107
2.106 2.106 -6.107
Zn W Zr
1 2 2
Direct
0.000 0.000 0.000
0.597 0.597 0.000
0.403 0.403 0.000
0.250 0.750 0.500
0.750 0.250 0.500
```

=====

# Sr3DyPa2P6

Sr3DyPa2P6 after structural relaxation (GGA-PBE, Alexandria).

Summary:
energy relative to the elements	-125.2	kJ/mol of atoms

The structure in POSCAR format:
```
Sr3DyPa2P6
1.0
-6.242 -0.175 -3.503
1.061 -4.285 5.638
-0.771 6.399 3.493
P Sr Pa Dy
6 3 2 1
Direct
0.730 0.730 0.216
0.928 0.586 0.784
0.270 0.270 0.784
0.414 0.072 0.216
0.072 0.414 0.216
0.586 0.928 0.784
0.165 0.835 0.500
0.835 0.165 0.500
0.500 0.500 0.500
0.333 0.667 0.000
0.667 0.333 0.000
0.000 0.000 0.000
```

=====

# NbSn2PdS

NbSn2PdS after structural relaxation (GGA-PBE, Alexandria).

Summary:
formation energy (no corrections)	4.27	eV per formula unit

The structure in POSCAR format:
```
NbSn2PdS
1.0
-0.076 5.422 0.302
-4.560 0.021 -1.533
-1.729 -0.311 5.139
S Sn Nb Pd
1 2 1 1
Direct
0.500 0.500 0.500
0.000 0.000 0.500
0.500 0.000 0.000
0.000 0.000 0.000
0.000 0.500 0.000
```

=====

# Pm6AgRh3

Pm6AgRh3 after structural relaxation (GGA-PBE, Alexandria).

Summary:
energy relative to the elements	-41.1	kJ/mol of atoms
energy above the lowest structure with this stoichiometry	73	meV per atom

The structure in POSCAR format:
```
Pm6AgRh3
1.0
7.278 0.000 0.000
0.000 8.985 -0.164
0.000 -2.165 8.722
Ag Pm Rh
2 12 6
Direct
0.501 0.830 0.170
0.001 0.170 0.830
0.609 0.229 0.771
0.162 0.363 0.297
0.162 0.703 0.637
0.662 0.637 0.703
0.662 0.297 0.363
0.274 0.012 0.988
0.774 0.988 0.012
0.228 0.464 0.899
0.228 0.101 0.536
0.728 0.536 0.101
0.728 0.899 0.464
0.109 0.771 0.229
0.386 0.402 0.598
0.468 0.927 0.704
0.886 0.598 0.402
0.968 0.073 0.296
0.468 0.296 0.073
0.968 0.704 0.927
```

=====

# BaPd3Pb3

BaPd3Pb3 after structural relaxation (GGA-PBE, Alexandria).

Summary:
energy relative to the elements	-33.7	kJ/mol of atoms
energy above the lowest structure with this stoichiometry	0	meV per atom

The structure in POSCAR format:
```
BaPd3Pb3
1.0
-3.324 -0.522 3.311
-6.824 0.482 -6.775
3.768 -8.518 2.440
Pb Ba Pd
6 2 6
Direct
0.250 0.253 0.952
0.750 0.952 0.699
0.750 0.747 0.048
0.250 0.048 0.301
0.250 0.699 0.747
0.750 0.301 0.253
0.250 0.667 0.333
0.750 0.333 0.667
0.250 0.048 0.604
0.750 0.604 0.556
0.750 0.952 0.396
0.750 0.444 0.048
0.250 0.396 0.444
0.250 0.556 0.952
```

=====

# Ag4Br

Ag4Br after structural relaxation (GGA-PBE, Alexandria).

Summary:
formation energy (no corrections)	3.64	eV per formula unit
energy above the lowest structure with this stoichiometry	615	meV per atom

The structure in POSCAR format:
```
Ag4Br
1.0
-5.136 -0.076 1.014
0.519 -4.683 2.281
0.874 2.339 4.602
Ag Br
4 1
Direct
0.000 0.500 0.500
0.000 0.000 0.000
0.500 0.500 0.000
0.500 0.000 0.500
0.500 0.500 0.500
```

=====

# MgSnAu2

MgSnAu2 after structural relaxation (GGA-PBE, Alexandria).

Summary:
energy relative to the elements	-29.0	kJ/mol of atoms

The structure in POSCAR format:
```
MgSnAu2
1.0
-1.436 -3.647 -0.211
3.607 -1.547 2.194
-2.121 0.609 3.918
Sn Au Mg
1 2 1
Direct
0.500 0.000 0.000
0.000 0.500 0.000
0.000 0.000 0.500
0.500 0.500 0.500
```

=====

| no. | calculated total energy (eV/atom) |
| --- | --- |
| 1 | -4.5744 |
| 2 | -4.4612 |
| 3 | -4.5826 |
| 4 | -2.2528 |
| 5 | -7.7421 |
| 6 | -6.3887 |
| 7 | -4.6261 |
| 8 | -5.7667 |
| 9 | -4.4386 |
| 10 | -1.8873 |
| 11 | -3.3385 |